Record 1
The following is a DFT calculation (PBE) of crystalline MnSi2Ag at its relaxed geometry.

Summary:
Offset from the most stable computed form: 0.158 eV/atom

POSCAR file:
```
MnSi2Ag
1.0
3.164 0.000 0.000
0.000 3.164 0.000
0.000 0.000 5.538
Mn Si Ag
1 2 1
Cartesian
0.000 0.000 0.000
0.000 0.000 2.276
1.582 1.582 0.796
1.582 1.582 3.650
```



Record 2
The following is a DFT calculation (PBE) of crystalline BeSiTe at its relaxed geometry.

Summary:
Offset from the most stable computed form: 0.032 eV/atom

POSCAR file:
```
BeSiTe
1.0
3.925 0.000 0.000
1.931 3.420 0.000
1.950 0.731 10.063
Be Si Te
2 2 2
Cartesian
0.961 0.344 2.708
6.846 3.807 7.355
1.959 0.940 5.378
5.848 3.211 4.686
2.976 1.547 8.208
4.831 2.604 1.855
```



Record 3
The following is a DFT calculation (PBE) of crystalline CdInAg2 at its relaxed geometry.

Summary:
Energy of formation: 159 meV per atom

POSCAR file:
```
CdInAg2
1.0
7.903 0.000 0.000
0.000 7.903 0.000
0.000 0.000 5.807
Cd In Ag
4 4 8
Cartesian
0.000 0.000 0.000
0.000 3.952 1.452
3.952 0.000 4.355
3.952 3.952 2.903
0.000 0.000 2.903
0.000 3.952 4.355
3.952 0.000 1.452
3.952 3.952 0.000
1.967 1.976 0.726
1.976 5.918 2.177
1.976 5.937 5.081
1.985 1.976 3.629
5.918 5.928 3.629
5.928 1.967 5.081
5.928 1.985 2.177
5.937 5.928 0.726
```



Number 1 is which compound?
MnSi2Ag